No. 1
Computed, not measured: a relaxed structure of RbPrNiTe3 at the GGA-PBE level of DFT.

Symmetry: Cmcm, No. 63
DFT total energy in eV per atom: -4.3345

abc: 8.995 8.995 11.214
angles: 90.00 90.00 27.68
Element x y z (fractional)
Pr 0.000 0.000 0.000
Pr 0.000 0.000 0.500
Te 0.619 0.619 0.595
Te 0.075 0.075 0.250
Te 0.381 0.381 0.095
Te 0.381 0.381 0.405
Te 0.619 0.619 0.905
Te 0.925 0.925 0.750
Rb 0.259 0.259 0.750
Rb 0.741 0.741 0.250
Ni 0.513 0.513 0.750
Ni 0.487 0.487 0.250



No. 2
Computed, not measured: a relaxed structure of RbPrNiTe3 at the GGA-PBE level of DFT.

Symmetry: Pnma, No. 62
DFT total energy in eV per atom: -4.3311

abc: 12.215 4.606 13.879
angles: 90.00 90.00 90.00
Element x y z (fractional)
Rb 0.835 0.500 0.999
Rb 0.665 0.000 0.499
Rb 0.335 0.500 0.501
Rb 0.165 0.000 0.001
Te 0.620 0.000 0.052
Te 0.557 0.500 0.682
Te 0.278 0.000 0.716
Te 0.943 0.000 0.182
Te 0.722 0.500 0.284
Te 0.443 0.000 0.318
Te 0.380 0.500 0.948
Te 0.778 0.000 0.784
Te 0.057 0.500 0.818
Te 0.222 0.500 0.216
Te 0.880 0.500 0.552
Te 0.120 0.000 0.448
Ni 0.235 0.000 0.292
Ni 0.265 0.500 0.792
Ni 0.765 0.500 0.708
Ni 0.735 0.000 0.208
Pr 0.009 0.000 0.664
Pr 0.491 0.500 0.164
Pr 0.991 0.500 0.336
Pr 0.509 0.000 0.836



No. 3
Computed, not measured: a relaxed structure of PrReNi at the GGA-PBE level of DFT.

Symmetry: F-43m, No. 216
ΔE to the lowest computed polymorph in eV/f.u.: 0.00
DFT total energy in eV per atom: -6.8078
Energy of formation from the pure elements in meV per atom: 781

abc: 4.479 4.479 4.479
angles: 60.00 60.00 60.00
Last column: magnetic moment on the atom in μB.
Element x y z (fractional)
Ni 0.000 0.000 0.000  0.60
Pr 0.250 0.250 0.250  -0.04
Re 0.750 0.750 0.750  1.63



No. 4
Computed, not measured: a relaxed structure of PrReNi at the GGA-PBE level of DFT.

Symmetry: F-43m, No. 216
ΔE to the lowest computed polymorph in eV/f.u.: 2.37
DFT total energy in eV per atom: -6.0162
Energy of formation from the pure elements in meV per atom: 1572

abc: 4.597 4.597 4.597
angles: 60.00 60.00 60.00
Element x y z (fractional)
Re 0.750 0.750 0.750
Pr 0.000 0.000 0.000
Ni 0.250 0.250 0.250



No. 5
Computed, not measured: a relaxed structure of Pr2NiS5 at the GGA-PBE level of DFT.

Symmetry: Cmcm, No. 63
DFT total energy in eV per atom: -5.6096

abc: 5.232 5.232 19.213
angles: 90.00 90.00 133.41
Element x y z (fractional)
S 0.041 0.959 0.171
S 0.959 0.041 0.829
S 0.222 0.778 0.750
S 0.359 0.641 0.059
S 0.778 0.222 0.250
S 0.641 0.359 0.941
S 0.959 0.041 0.671
S 0.041 0.959 0.329
S 0.641 0.359 0.559
S 0.359 0.641 0.441
Ni 0.800 0.200 0.750
Ni 0.200 0.800 0.250
Pr 0.343 0.657 0.588
Pr 0.343 0.657 0.912
Pr 0.657 0.343 0.088
Pr 0.657 0.343 0.412



No. 6
Computed, not measured: a relaxed structure of PrNi3S6 at the GGA-PBE level of DFT.

Symmetry: P2_1/m, No. 11
DFT total energy in eV per atom: -5.1658

abc: 9.659 3.615 10.371
angles: 90.00 111.00 90.00
Element x y z (fractional)
S 0.979 0.750 0.103
S 0.724 0.250 0.733
S 0.100 0.250 0.441
S 0.646 0.750 0.968
S 0.900 0.750 0.559
S 0.589 0.250 0.435
S 0.354 0.250 0.032
S 0.411 0.750 0.565
S 0.196 0.750 0.764
S 0.804 0.250 0.236
S 0.276 0.750 0.267
S 0.021 0.250 0.897
Ni 0.326 0.250 0.417
Ni 0.177 0.750 0.988
Ni 0.945 0.750 0.346
Ni 0.823 0.250 0.012
Ni 0.674 0.750 0.583
Ni 0.055 0.250 0.654
Pr 0.561 0.750 0.215
Pr 0.439 0.250 0.785



No. 7
Computed, not measured: a relaxed structure of PrNiSb3 at the GGA-PBE level of DFT.

Symmetry: Pbcm, No. 57
DFT total energy in eV per atom: -5.1657

abc: 12.736 6.275 18.508
angles: 90.00 90.00 90.00
Element x y z (fractional)
Sb 0.503 0.294 0.834
Sb 0.503 0.294 0.666
Sb 0.497 0.706 0.166
Sb 0.496 0.250 0.500
Sb 0.780 0.055 0.750
Sb 0.026 0.542 0.587
Sb 0.496 0.250 0.000
Sb 0.224 0.026 0.584
Sb 0.780 0.445 0.250
Sb 0.504 0.750 0.500
Sb 0.224 0.026 0.916
Sb 0.776 0.974 0.084
Sb 0.026 0.542 0.913
Sb 0.974 0.042 0.913
Sb 0.026 0.958 0.087
Sb 0.220 0.945 0.250
Sb 0.057 0.184 0.750
Sb 0.224 0.474 0.084
Sb 0.220 0.555 0.750
Sb 0.943 0.684 0.750
Sb 0.776 0.974 0.416
Sb 0.503 0.206 0.166
Sb 0.026 0.958 0.413
Sb 0.503 0.206 0.334
Sb 0.057 0.316 0.250
Sb 0.497 0.706 0.334
Sb 0.974 0.458 0.413
Sb 0.776 0.526 0.584
Sb 0.974 0.042 0.587
Sb 0.504 0.750 0.000
Sb 0.776 0.526 0.916
Sb 0.974 0.458 0.087
Sb 0.224 0.474 0.416
Sb 0.497 0.794 0.834
Sb 0.497 0.794 0.666
Sb 0.943 0.816 0.250
Ni 0.901 0.173 0.324
Ni 0.102 0.250 0.500
Ni 0.901 0.327 0.824
Ni 0.901 0.327 0.676
Ni 0.898 0.750 0.000
Ni 0.898 0.750 0.500
Ni 0.901 0.173 0.176
Ni 0.099 0.827 0.824
Ni 0.102 0.250 0.000
Ni 0.099 0.827 0.676
Ni 0.099 0.673 0.176
Ni 0.099 0.673 0.324
Pr 0.695 0.942 0.250
Pr 0.701 0.473 0.416
Pr 0.305 0.442 0.250
Pr 0.701 0.027 0.916
Pr 0.299 0.527 0.584
Pr 0.299 0.527 0.916
Pr 0.701 0.027 0.584
Pr 0.305 0.058 0.750
Pr 0.299 0.973 0.084
Pr 0.299 0.973 0.416
Pr 0.701 0.473 0.084
Pr 0.695 0.558 0.750



No. 8
Computed, not measured: a relaxed structure of PrNi2SnSb at the GGA-PBE level of DFT.

Symmetry: P4/nmm, No. 129
ΔE to the lowest computed polymorph in eV/f.u.: 0.00
DFT total energy in eV per atom: -5.4606

abc: 4.403 4.403 10.319
angles: 90.00 90.00 90.00
Element x y z (fractional)
Pr 0.000 0.500 0.240
Pr 0.500 0.000 0.760
Ni 0.500 0.500 0.000
Ni 0.000 0.000 0.000
Ni 0.000 0.500 0.630
Ni 0.500 0.000 0.370
Sb 0.500 0.000 0.127
Sb 0.000 0.500 0.873
Sn 0.500 0.500 0.500
Sn 0.000 0.000 0.500



No. 9
Computed, not measured: a relaxed structure of PrNi2SnSb at the GGA-PBE level of DFT.

Symmetry: P4/nmm, No. 129
ΔE to the lowest computed polymorph in eV/f.u.: 0.45
DFT total energy in eV per atom: -5.3705

abc: 4.513 4.513 9.954
angles: 90.00 90.00 90.00
Element x y z (fractional)
Sn 0.000 0.500 0.876
Sn 0.500 0.000 0.124
Sb 0.500 0.500 0.500
Sb 0.000 0.000 0.500
Pr 0.000 0.500 0.239
Pr 0.500 0.000 0.761
Ni 0.500 0.500 0.000
Ni 0.500 0.000 0.380
Ni 0.000 0.500 0.620
Ni 0.000 0.000 0.000



No. 10
Computed, not measured: a relaxed structure of TbPrNi2Sb4 at the GGA-PBE level of DFT.

Symmetry: P4mm, No. 99
DFT total energy in eV per atom: -5.3483

abc: 4.377 4.377 9.671
angles: 90.00 90.00 90.00
Element x y z (fractional)
Ni 0.500 0.000 0.006
Ni 0.000 0.500 0.006
Sb 0.000 0.500 0.493
Sb 0.000 0.000 0.141
Sb 0.500 0.000 0.493
Sb 0.500 0.500 0.868
Tb 0.500 0.500 0.237
Pr 0.000 0.000 0.758



No. 11
Computed, not measured: a relaxed structure of PrZrNi2Sb4 at the GGA-PBE level of DFT.

Symmetry: P4mm, No. 99
DFT total energy in eV per atom: -5.7142

abc: 4.358 4.358 9.385
angles: 90.00 90.00 90.00
Element x y z (fractional)
Sb 0.000 0.000 0.844
Sb 0.000 0.500 0.522
Sb 0.500 0.000 0.522
Sb 0.500 0.500 0.130
Ni 0.000 0.500 0.983
Ni 0.500 0.000 0.983
Zr 0.500 0.500 0.771
Pr 0.000 0.000 0.245



No. 12
Computed, not measured: a relaxed structure of PrScNi at the GGA-PBE level of DFT.

Symmetry: F-43m, No. 216
ΔE to the lowest computed polymorph in eV/f.u.: 0.00
DFT total energy in eV per atom: -5.6265
Energy of formation from the pure elements in meV per atom: -70

abc: 4.702 4.702 4.702
angles: 60.00 60.00 60.00
Element x y z (fractional)
Sc 0.750 0.750 0.750
Pr 0.250 0.250 0.250
Ni 0.000 0.000 0.000



No. 13
Computed, not measured: a relaxed structure of PrScSi4Ni2 at the GGA-PBE level of DFT.

Symmetry: Amm2, No. 38
DFT total energy in eV per atom: -6.2431

abc: 3.976 8.398 8.398
angles: 27.63 90.00 90.00
Element x y z (fractional)
Pr 0.000 0.396 0.396
Si 0.000 0.043 0.043
Si 0.500 0.964 0.964
Si 0.500 0.247 0.247
Si 0.000 0.746 0.746
Ni 0.000 0.178 0.178
Ni 0.500 0.820 0.820
Sc 0.500 0.607 0.607



No. 14
Computed, not measured: a relaxed structure of Pr3Sc3NiTe2 at the GGA-PBE level of DFT.

Symmetry: P-62m, No. 189
ΔE to the lowest computed polymorph in eV/f.u.: 1.84
DFT total energy in eV per atom: -5.5566

abc: 8.447 8.447 3.790
angles: 90.00 90.00 120.00
Last column: magnetic moment on the atom in μB.
Element x y z (fractional)
Pr 0.248 0.248 0.500  0.02
Pr 0.752 0.000 0.500  0.02
Pr 0.000 0.752 0.500  0.02
Te 0.667 0.333 0.500  0.00
Te 0.333 0.667 0.500  0.00
Sc 0.408 0.000 0.000  0.06
Sc 0.000 0.408 0.000  0.05
Sc 0.592 0.592 0.000  0.04
Ni 0.000 0.000 0.000  0.01



No. 15
Computed, not measured: a relaxed structure of Pr3Sc3NiTe2 at the GGA-PBE level of DFT.

Symmetry: P-62m, No. 189
ΔE to the lowest computed polymorph in eV/f.u.: 0.00
DFT total energy in eV per atom: -5.7607

abc: 8.122 8.122 4.123
angles: 90.00 90.00 120.00
Element x y z (fractional)
Te 0.667 0.333 0.500
Te 0.333 0.667 0.500
Sc 0.776 0.000 0.500
Sc 0.224 0.224 0.500
Sc 0.000 0.776 0.500
Pr 0.000 0.394 0.000
Pr 0.394 0.000 0.000
Pr 0.606 0.606 0.000
Ni 0.000 0.000 0.000



No. 16
Computed, not measured: a relaxed structure of PrScZnNi2 at the GGA-PBE level of DFT.

Symmetry: Imm2, No. 44
DFT total energy in eV per atom: -5.0843
Energy of formation from the pure elements in meV per atom: -384

abc: 5.236 5.236 5.236
angles: 132.24 119.10 80.88
Element x y z (fractional)
Ni 0.267 0.500 0.768
Ni 0.732 0.500 0.232
Zn 0.000 0.000 0.000
Pr 0.297 0.797 0.500
Sc 0.704 0.204 0.500



No. 17
Computed, not measured: a relaxed structure of PrSi2Ni at the GGA-PBE level of DFT.

Symmetry: P2_1/m, No. 11
DFT total energy in eV per atom: -6.0504

abc: 5.751 3.939 6.819
angles: 90.00 113.94 90.00
Element x y z (fractional)
Ni 0.487 0.250 0.245
Ni 0.513 0.750 0.755
Si 0.372 0.750 0.038
Si 0.383 0.250 0.547
Si 0.617 0.750 0.453
Si 0.628 0.250 0.962
Pr 0.000 0.750 0.252
Pr 0.000 0.250 0.748



No. 18
Computed, not measured: a relaxed structure of PrSi2Ni at the GGA-PBE level of DFT.

Symmetry: Pmn2_1, No. 31
DFT total energy in eV per atom: -5.8788

abc: 3.983 6.033 5.891
angles: 90.00 90.00 90.00
Element x y z (fractional)
Pr 0.500 0.895 0.133
Pr 0.000 0.105 0.633
Ni 0.500 0.417 0.317
Ni 0.000 0.583 0.817
Si 0.000 0.287 0.145
Si 0.500 0.713 0.645
Si 0.500 0.386 0.905
Si 0.000 0.614 0.405



No. 19
Computed, not measured: a relaxed structure of Pr3Si2Ni6 at the GGA-PBE level of DFT.

Symmetry: Im-3m, No. 229
DFT total energy in eV per atom: -5.8392

abc: 7.763 7.763 7.763
angles: 109.47 109.47 109.47
Element x y z (fractional)
Si 0.500 0.500 0.500
Si 0.500 0.000 0.000
Si 0.000 0.000 0.500
Si 0.000 0.500 0.000
Ni 0.670 0.000 0.330
Ni 0.670 0.330 0.000
Ni 0.330 0.670 0.000
Ni 0.000 0.330 0.670
Ni 0.330 0.661 0.330
Ni 0.670 0.339 0.670
Ni 0.330 0.000 0.670
Ni 0.339 0.670 0.670
Ni 0.661 0.330 0.330
Ni 0.000 0.670 0.330
Ni 0.330 0.330 0.661
Ni 0.670 0.670 0.339
Pr 0.285 0.000 0.285
Pr 0.715 0.000 0.715
Pr 0.285 0.285 0.000
Pr 0.000 0.715 0.715
Pr 0.715 0.715 0.000
Pr 0.000 0.285 0.285



No. 20
Computed, not measured: a relaxed structure of Pr3Si4Ni at the GGA-PBE level of DFT.

Symmetry: Pm, No. 6
DFT total energy in eV per atom: -5.7866

abc: 5.880 3.868 7.832
angles: 90.00 101.63 90.00
Element x y z (fractional)
Si 0.028 0.000 0.972
Si 0.766 0.500 0.968
Si 0.403 0.000 0.494
Si 0.677 0.500 0.566
Pr 0.345 0.500 0.192
Pr 0.207 0.500 0.726
Pr 0.869 0.000 0.330
Ni 0.705 0.000 0.751